[1]
A relaxed structure of BiPtPb2. Source: the Alexandria database, functional GGA-PBE.

Values from the calculation:
Its density of states at the Fermi level is 0.5630 states/eV/atom. The calculation puts the formation enthalpy at 0 K at -0.09 eV/atom.

a = 6.9723 Å, b = 8.5227 Å, c = 8.8973 Å
α = 118.77°, β = 90.00°, γ = 90.00°
Sites, in units of the cell vectors:
Bi1 0.4995 0.2021 0.4981
Bi2 0.9995 0.2979 0.5019
Bi3 0.5005 0.7979 0.5019
Bi4 0.0005 0.7021 0.4981
Pt1 0.6780 0.4396 0.3785
Pt2 0.1780 0.0604 0.6215
Pt3 0.3220 0.5604 0.6215
Pt4 0.8220 0.9396 0.3785
Pb1 0.7531 0.0642 0.1269
Pb2 0.2531 0.4358 0.8731
Pb3 0.2469 0.9358 0.8731
Pb4 0.7469 0.5642 0.1269
Pb5 0.6921 0.6379 0.7746
Pb6 0.1921 0.8621 0.2254
Pb7 0.3079 0.3621 0.2254
Pb8 0.8079 0.1379 0.7746

[2]
A relaxed structure of SrScPb2. Source: the Alexandria database, functional GGA-PBE.

Values from the calculation:
Its density of states at the Fermi level is 0.7891 states/eV/atom. The calculation puts the formation enthalpy at 0 K at -0.16 eV/atom.

a = 3.5991 Å, b = 5.4279 Å, c = 6.4144 Å
α = 90.00°, β = 90.00°, γ = 90.00°
Sites, in units of the cell vectors:
Pb1 0.0000 0.0000 0.8756
Pb2 0.5000 0.5000 0.3746
Sc1 0.0000 0.0000 0.3753
Sr1 0.5000 0.5000 0.8745

[3]
A relaxed structure of Ca2PrSm. Source: the Alexandria database, functional GGA-PBE.

Values from the calculation:
Its density of states at the Fermi level is 1.4836 states/eV/atom. The value obtained for the energy relative to the lowest polymorph listed for this composition is 85 meV per atom. The calculation puts the formation enthalpy at 0 K at 0.12 eV/atom.

a = 4.2134 Å, b = 4.2134 Å, c = 8.4339 Å
α = 90.00°, β = 90.00°, γ = 90.00°
Sites, in units of the cell vectors:
Pr1 0.5000 0.5000 0.0000
Ca1 0.0000 0.0000 0.7461
Ca2 0.0000 0.0000 0.2539
Sm1 0.5000 0.5000 0.5000

[4]
A relaxed structure of Ac2ThAgSe5. Source: the Alexandria database, functional GGA-PBE.

Values from the calculation:
The uncorrected formation energy is -1.602 eV/atom. Its density of states at the Fermi level is 0.1614 states/eV/atom.

a = 4.3049 Å, b = 9.3416 Å, c = 12.9162 Å
α = 90.00°, β = 90.00°, γ = 103.32°
Sites, in units of the cell vectors:
Ac1 0.8760 0.7519 0.8148
Ac2 0.1144 0.2288 0.6919
Ac3 0.1240 0.2481 0.3148
Ac4 0.8856 0.7712 0.1919
Th1 0.8068 0.6136 0.5122
Th2 0.1932 0.3864 0.0122
Ag1 0.5516 0.1033 0.9493
Ag2 0.4484 0.8967 0.4493
Se1 0.3555 0.7111 0.0062
Se2 0.6925 0.3851 0.8514
Se3 0.4954 0.9908 0.7640
Se4 0.2935 0.5869 0.6714
Se5 0.9585 0.9171 0.5626
Se6 0.6445 0.2889 0.5062
Se7 0.3075 0.6149 0.3514
Se8 0.5046 0.0092 0.2640
Se9 0.7065 0.4131 0.1714
Se10 0.0415 0.0829 0.0626

| no. | total energy (eV per atom) |
| --- | --- |
| 1 | -4.423 |
| 2 | -4.022 |
| 3 | -3.253 |
| 4 | -5.592 |